Entry from the Alexandria database: a relaxed Li3Co3SbO8 crystal (PBE with a Hubbard U).

Summary:
- Total magnetization: 13.94 μB/cell
- Density: 4.73 g cm⁻³
- DFT total energy: -5.725 eV per atom

abc: 6.0198 6.0384 10.5116
angles: 89.38 73.40 60.40
With the nearest neighbours (Å) after each atom.
Space group P-1 (No. 2)
Symmetry-distinct sites (fractional):
Li 0.0017 0.2539 0.2495  4 O 2.08-2.33
Li 0.4672 0.7709 0.7620  4 O 2.02-2.17
Li 0.4760 0.7685 0.2604  4 O 2.05-2.16
Co 0.0000 0.0000 0.0000  4 O 1.94-1.96
Co 0.0000 0.0000 0.5000  4 O 1.94-1.95
Co 0.0000 0.5000 0.0000  6 O 2.10-2.15
Co 0.0000 0.5000 0.5000  6 O 2.12-2.14
Co 0.5000 0.0000 0.5000  4 O 1.92-1.97
Co 0.5000 0.5000 0.0000  4 O 1.94-1.96
Sb 0.5000 0.0000 0.0000  6 O 1.98-2.02
Sb 0.5000 0.5000 0.5000  6 O 1.98-2.02
O 0.2350 0.6558 0.3971  2 Co 1.94-2.12, 1 Sb 2.02, 1 Li 2.10
O 0.2403 0.1145 0.8945  2 Co 1.96-2.13, 1 Sb 2.02, 1 Li 2.07
O 0.2414 0.6509 0.9036  3 Co 1.94-2.10, 1 Li 2.09
O 0.2466 0.1104 0.4030  3 Co 1.92-2.12, 1 Li 2.12
O 0.2585 0.3970 0.6209  1 Sb 1.98, 2 Li 2.08-2.16, 1 Co 2.14
O 0.2679 0.8946 0.1257  1 Sb 1.98, 2 Li 2.05-2.10
O 0.2879 0.3588 0.1067  2 Co 1.96-2.15, 1 Sb 2.02, 1 Li 2.17
O 0.3022 0.8497 0.6128  1 Co 1.97, 1 Sb 2.01, 1 Li 2.02